# 1
# MgSi2Ag

A geometry-optimized MgSi2Ag structure (PBE-GGA, Alexandria via LeMat-Bulk).

```
MgSi2Ag
1.0
2.9243 0.0384 0.0000
-0.0378 2.9243 0.0000
0.0000 0.0000 7.8842
Ag Mg Si
1 1 2
Direct
0.0000 0.0000 0.4921 Ag
0.5000 0.5000 0.7548 Mg
0.0000 0.0000 0.0127 Si
0.5000 0.5000 0.2403 Si
```

Total DFT energy (no corrections) ... -3.583 eV per atom
Density of states at the Fermi level ... 1.8 states/eV per cell
SG ... P4mm
ΔE_f (raw) ... 0.959 eV per formula unit
Crystal system ... tetragonal

***

# 2
# Mg2ReMo

A geometry-optimized Mg2ReMo structure (PBE-GGA, Alexandria via LeMat-Bulk).

```
Mg2ReMo
1.0
-2.1723 -4.0183 1.5210
-0.2348 -4.8034 -0.2266
3.4009 -0.6532 4.0640
Mg Mo Re
2 1 1
Direct
0.9963 0.9963 0.9968 Mg
0.7513 0.7513 0.7560 Mg
0.4987 0.4987 0.4760 Mo
0.2537 0.2537 0.2711 Re
```

Total DFT energy (no corrections) ... -6.317 eV per atom
Density of states at the Fermi level ... 2.2 states/eV per cell
SG ... Cm
Distance to the lowest polymorph of the same formula ... 177 meV/atom
Crystal system ... monoclinic
Calculated formation energy ... 0.300 eV per atom

***

# 3
# AcTeBrO4

A geometry-optimized AcTeBrO4 structure (PBE-GGA, Alexandria via LeMat-Bulk).

```
AcTeBrO4
1.0
-5.4969 0.0069 -4.0471
-2.5935 -6.2969 -0.4675
-5.6340 0.1538 4.8407
Ac Te Br O
2 2 2 8
Direct
0.2311 0.2311 0.8626 Ac
0.7689 0.7689 0.1374 Ac
0.6343 0.6343 0.7398 Te
0.3657 0.3657 0.2602 Te
0.0179 0.0179 0.2430 Br
0.9821 0.9821 0.7570 Br
0.2970 0.2970 0.5135 O
0.7030 0.7030 0.4865 O
0.1269 0.4856 0.1446 O
0.5351 0.5351 0.2032 O
0.5144 0.8731 0.8554 O
0.4856 0.1269 0.1446 O
0.4649 0.4649 0.7968 O
0.8731 0.5144 0.8554 O
```

Total DFT energy (no corrections) ... -5.869 eV per atom
SG ... C2/m
ΔE_f (raw) ... -12.328 eV per formula unit
Crystal system ... monoclinic

***

# 4
# Li2CaHo2Ga2

A geometry-optimized Li2CaHo2Ga2 structure (PBE-GGA, Alexandria via LeMat-Bulk).

```
Li2CaHo2Ga2
1.0
4.6658 0.0000 0.0000
2.3329 4.0407 0.0000
2.3329 1.3469 8.9391
Li Ca Ho Ga
2 1 2 2
Direct
0.5994 0.5994 0.2017 Li
0.4006 0.4006 0.7983 Li
0.0000 0.0000 0.0000 Ca
0.1282 0.1282 0.6153 Ho
0.8718 0.8718 0.3847 Ho
0.7474 0.7474 0.7578 Ga
0.2526 0.2526 0.2422 Ga
```

Total DFT energy (no corrections) ... -3.256 eV per atom
Density of states at the Fermi level ... 5.2 states/eV per cell
SG ... R-3m
Crystal system ... trigonal
Calculated formation energy ... -0.250 eV per atom

***

# 5
# TbPrCo

A geometry-optimized TbPrCo structure (PBE-GGA, Alexandria via LeMat-Bulk).

```
TbPrCo
1.0
3.4266 0.0030 0.0015
-0.0185 6.9331 0.0242
-1.7085 -1.7988 6.4900
Tb Pr Co
2 2 2
Direct
0.5641 0.1141 0.8957 Tb
0.3138 0.9898 0.3931 Tb
0.3124 0.4873 0.3910 Pr
0.5653 0.6167 0.8978 Pr
0.9403 0.2822 0.6471 Co
0.9375 0.8218 0.6417 Co
```

Total DFT energy (no corrections) ... -5.518 eV per atom
Density of states at the Fermi level ... 6.2 states/eV per cell
SG ... P-1
Distance to the lowest polymorph of the same formula ... 69 meV/atom
Crystal system ... triclinic
Calculated formation energy ... -0.013 eV per atom

***

# 6
# SrCoBr

A geometry-optimized SrCoBr structure (PBE-GGA, Alexandria via LeMat-Bulk).

```
SrCoBr
1.0
-3.5572 -0.9317 -1.5680
2.1166 -4.6157 3.0352
-5.4367 3.8920 4.9246
Sr Co Br
2 2 2
Direct
0.7895 0.5656 0.3700 Sr
0.6357 0.8823 0.9945 Sr
0.0881 0.0913 0.2984 Co
0.5022 0.0221 0.4012 Co
0.9267 0.4408 0.9712 Br
0.2891 0.8633 0.6685 Br
```

Total DFT energy (no corrections) ... -4.090 eV per atom
Density of states at the Fermi level ... 3.3 states/eV per cell
SG ... Cm
ΔE_f (raw) ... -1.808 eV per formula unit
Crystal system ... monoclinic

***

Size of the total moment, record by record: 0.00 0.00 0.00 0.00 0.56 1.11 μB per formula unit